## LiAg2Sb (PBE-GGA)

Data for an optimized crystal structure of LiAg2Sb.

POSCAR file:
```
LiAg2Sb
1.0
-3.546 0.886 3.522
0.977 -3.288 3.742
3.135 3.275 -2.292
Sb Ag Li
1 2 1
direct
0.750 0.250 0.500
0.000 0.000 0.000
0.500 0.500 0.000
0.250 0.750 0.500
```

## Li3Ag4Sb4 (PBE-GGA)

Data for an optimized crystal structure of Li3Ag4Sb4.

POSCAR file:
```
Li3Ag4Sb4
1.0
-1.790 -1.991 1.885
-0.026 -3.229 -3.453
12.332 -7.914 5.367
Li Ag Sb
3 4 4
direct
0.159 0.682 0.713
0.841 0.319 0.287
0.000 0.000 0.000
0.593 0.137 0.812
0.266 0.262 0.466
0.734 0.739 0.534
0.407 0.863 0.188
0.538 0.607 0.903
0.462 0.394 0.097
0.299 0.794 0.366
0.701 0.206 0.634
```

The records above give, respectively, E_tot values of -12.6, -35.6 eV per cell.